(1)
# Ba2NaCaTi, relaxed, DFT GGA-PBE
data_Ba2NaCaTi
_cell_length_a 6.5144
_cell_length_b 5.6318
_cell_length_c 6.5144
_cell_angle_alpha 90.00
_cell_angle_beta 90.00
_cell_angle_gamma 90.00
_symmetry_space_group_name_H-M 'P 1'
_symmetry_Int_Tables_number 1
_symmetry_space_group_name_Hall 'P 1'
loop_
_atom_site_label
_atom_site_fract_x
_atom_site_fract_y
_atom_site_fract_z
_atom_site_occupancy
Na1 0.0000 0.0000 0.0000 1
Ca1 0.5000 0.5000 0.5000 1
Ba1 0.0000 0.0000 0.5000 1
Ba2 0.5000 0.0000 0.0000 1
Ti1 0.0000 0.5000 0.0000 1
# Raw total energy = -11.24 eV per cell
# DOS(E_F) = 1.12 states/eV/atom
# ΔH_f (0 K) = 0.764 eV/atom

---

(2)
# PaCl3F2, relaxed, DFT GGA-PBE
data_PaCl3F2
_cell_length_a 6.4320
_cell_length_b 6.6326
_cell_length_c 6.6326
_cell_angle_alpha 99.85
_cell_angle_beta 90.00
_cell_angle_gamma 90.00
_symmetry_space_group_name_H-M 'P 1'
_symmetry_Int_Tables_number 1
_symmetry_space_group_name_Hall 'P 1'
loop_
_atom_site_label
_atom_site_fract_x
_atom_site_fract_y
_atom_site_fract_z
_atom_site_occupancy
Pa1 0.2500 0.6242 0.3758 1
Pa2 0.7500 0.3758 0.6242 1
Cl1 0.2500 0.8692 0.1308 1
Cl2 0.7500 0.1308 0.8692 1
Cl3 0.2500 0.9790 0.6102 1
Cl4 0.7500 0.0210 0.3898 1
Cl5 0.2500 0.3898 0.0210 1
Cl6 0.7500 0.6102 0.9790 1
F1 0.0000 0.3674 0.3674 1
F2 0.5000 0.6326 0.6326 1
F3 0.0000 0.6326 0.6326 1
F4 0.5000 0.3674 0.3674 1
# Raw total energy = -65.58 eV per cell

---

(3)
# ZnSb3Ru, relaxed, DFT GGA-PBE
data_ZnSb3Ru
_cell_length_a 5.1483
_cell_length_b 5.1483
_cell_length_c 5.1483
_cell_angle_alpha 90.00
_cell_angle_beta 90.00
_cell_angle_gamma 90.00
_symmetry_space_group_name_H-M 'P 1'
_symmetry_Int_Tables_number 1
_symmetry_space_group_name_Hall 'P 1'
loop_
_atom_site_label
_atom_site_fract_x
_atom_site_fract_y
_atom_site_fract_z
_atom_site_occupancy
Sb1 0.0000 0.5000 0.0000 1
Sb2 0.0000 0.0000 0.5000 1
Sb3 0.5000 0.0000 0.0000 1
Zn1 0.5000 0.5000 0.5000 1
Ru1 0.0000 0.0000 0.0000 1
# Raw total energy = -20.54 eV per cell
# ΔE to the lowest computed polymorph = 0.00 kcal/mol of atoms
# DOS(E_F) = 0.87 states/eV/atom

---

(4)
# ZrCd2Pd4, relaxed, DFT GGA-PBE
data_ZrCd2Pd4
_cell_length_a 4.9723
_cell_length_b 4.9723
_cell_length_c 6.3170
_cell_angle_alpha 105.07
_cell_angle_beta 105.07
_cell_angle_gamma 109.83
_symmetry_space_group_name_H-M 'P 1'
_symmetry_Int_Tables_number 1
_symmetry_space_group_name_Hall 'P 1'
loop_
_atom_site_label
_atom_site_fract_x
_atom_site_fract_y
_atom_site_fract_z
_atom_site_occupancy
Zr1 0.0000 0.0000 0.0000 1
Cd1 0.7229 0.7229 0.4458 1
Cd2 0.2771 0.2771 0.5542 1
Pd1 0.3783 0.8783 0.7566 1
Pd2 0.8783 0.3783 0.7566 1
Pd3 0.6217 0.1217 0.2434 1
Pd4 0.1217 0.6217 0.2434 1
# Raw total energy = -33.64 eV per cell
# DOS(E_F) = 0.52 states/eV/atom
# ΔH_f (0 K) = -0.356 eV/atom

---

(5)
# Ni2AuI8, relaxed, DFT GGA-PBE
data_Ni2AuI8
_cell_length_a 9.2010
_cell_length_b 7.5874
_cell_length_c 10.6792
_cell_angle_alpha 113.99
_cell_angle_beta 90.00
_cell_angle_gamma 127.32
_symmetry_space_group_name_H-M 'P 1'
_symmetry_Int_Tables_number 1
_symmetry_space_group_name_Hall 'P 1'
loop_
_atom_site_label
_atom_site_fract_x
_atom_site_fract_y
_atom_site_fract_z
_atom_site_occupancy
Ni1 0.8991 0.7983 0.5914 1
Ni2 0.1009 0.2017 0.4086 1
Au1 0.0000 0.0000 0.0000 1
I1 0.8588 0.1219 0.2078 1
I2 0.2631 0.1219 0.2078 1
I3 0.1412 0.8781 0.7922 1
I4 0.3437 0.6874 0.5227 1
I5 0.7369 0.8781 0.7922 1
I6 0.8666 0.7333 0.3396 1
I7 0.1334 0.2667 0.6604 1
I8 0.6563 0.3126 0.4773 1
# Raw total energy = -27.60 eV per cell
# DOS(E_F) = 0.40 states/eV/atom

---

(6)
# Mg3RePd, relaxed, DFT GGA-PBE
data_Mg3RePd
_cell_length_a 4.8062
_cell_length_b 4.8062
_cell_length_c 4.8062
_cell_angle_alpha 90.00
_cell_angle_beta 90.00
_cell_angle_gamma 90.00
_symmetry_space_group_name_H-M 'P 1'
_symmetry_Int_Tables_number 1
_symmetry_space_group_name_Hall 'P 1'
loop_
_atom_site_label
_atom_site_fract_x
_atom_site_fract_y
_atom_site_fract_z
_atom_site_occupancy
Re1 0.5000 0.5000 0.5000 1
Mg1 0.0000 0.5000 0.0000 1
Mg2 0.0000 0.0000 0.5000 1
Mg3 0.5000 0.0000 0.0000 1
Pd1 0.0000 0.0000 0.0000 1
# Raw total energy = -18.31 eV per cell
# ΔE to the lowest computed polymorph = 0.00 kcal/mol of atoms
# DOS(E_F) = 0.38 states/eV/atom
# ΔH_f (0 K) = 0.823 eV/atom

---

(7)
# NaSbTe2C, relaxed, DFT GGA-PBE
data_NaSbTe2C
_cell_length_a 5.4594
_cell_length_b 5.4594
_cell_length_c 5.4297
_cell_angle_alpha 90.00
_cell_angle_beta 90.00
_cell_angle_gamma 90.00
_symmetry_space_group_name_H-M 'P 1'
_symmetry_Int_Tables_number 1
_symmetry_space_group_name_Hall 'P 1'
loop_
_atom_site_label
_atom_site_fract_x
_atom_site_fract_y
_atom_site_fract_z
_atom_site_occupancy
Sb1 0.0000 0.0000 0.5000 1
C1 0.5000 0.5000 0.5000 1
Te1 0.0000 0.5000 0.0000 1
Te2 0.5000 0.0000 0.0000 1
Na1 0.0000 0.0000 0.0000 1
# Raw total energy = -11.05 eV per cell
# ΔE to the lowest computed polymorph = 29.64 kcal/mol of atoms
# DOS(E_F) = 1.38 states/eV/atom

---

(8)
# Ac5PdRu, relaxed, DFT GGA-PBE
data_Ac5PdRu
_cell_length_a 4.2301
_cell_length_b 7.6638
_cell_length_c 16.3190
_cell_angle_alpha 88.41
_cell_angle_beta 90.00
_cell_angle_gamma 90.00
_symmetry_space_group_name_H-M 'P 1'
_symmetry_Int_Tables_number 1
_symmetry_space_group_name_Hall 'P 1'
loop_
_atom_site_label
_atom_site_fract_x
_atom_site_fract_y
_atom_site_fract_z
_atom_site_occupancy
Ac1 0.2500 0.0886 0.3039 1
Ac2 0.7500 0.1244 0.9132 1
Ac3 0.7500 0.2784 0.5008 1
Ac4 0.2500 0.3684 0.0841 1
Ac5 0.2500 0.4476 0.7187 1
Ac6 0.7500 0.5524 0.2813 1
Ac7 0.7500 0.6316 0.9159 1
Ac8 0.2500 0.7216 0.4992 1
Ac9 0.2500 0.8756 0.0868 1
Ac10 0.7500 0.9114 0.6961 1
Pd1 0.7500 0.1342 0.1649 1
Pd2 0.2500 0.8658 0.8351 1
Ru1 0.2500 0.4124 0.3852 1
Ru2 0.7500 0.5876 0.6148 1
# Raw total energy = -74.29 eV per cell
# DOS(E_F) = 0.98 states/eV/atom
# ΔH_f (0 K) = -0.305 eV/atom

---

(9)
# CeScAu, relaxed, DFT GGA-PBE
data_CeScAu
_cell_length_a 3.3731
_cell_length_b 3.3731
_cell_length_c 6.7882
_cell_angle_alpha 104.39
_cell_angle_beta 104.39
_cell_angle_gamma 90.00
_symmetry_space_group_name_H-M 'P 1'
_symmetry_Int_Tables_number 1
_symmetry_space_group_name_Hall 'P 1'
loop_
_atom_site_label
_atom_site_fract_x
_atom_site_fract_y
_atom_site_fract_z
_atom_site_occupancy
Sc1 0.3076 0.3076 0.6152 1
Au1 0.6845 0.6845 0.3690 1
Ce1 0.0079 0.0079 0.0158 1
# Raw total energy = -16.82 eV per cell
# ΔE to the lowest computed polymorph = 1.06 kcal/mol of atoms
# DOS(E_F) = 1.78 states/eV/atom
# ΔH_f (0 K) = -0.427 eV/atom

---

(10)
# SmYLu4, relaxed, DFT GGA-PBE
data_SmYLu4
_cell_length_a 6.5590
_cell_length_b 6.5590
_cell_length_c 6.5590
_cell_angle_alpha 60.00
_cell_angle_beta 60.00
_cell_angle_gamma 60.00
_symmetry_space_group_name_H-M 'P 1'
_symmetry_Int_Tables_number 1
_symmetry_space_group_name_Hall 'P 1'
loop_
_atom_site_label
_atom_site_fract_x
_atom_site_fract_y
_atom_site_fract_z
_atom_site_occupancy
Y1 0.0000 0.0000 0.0000 1
Lu1 0.6250 0.6250 0.1250 1
Lu2 0.6250 0.1250 0.6250 1
Lu3 0.6250 0.6250 0.6250 1
Lu4 0.1250 0.6250 0.6250 1
Sm1 0.2500 0.2500 0.2500 1
# Raw total energy = -27.66 eV per cell
# DOS(E_F) = 2.44 states/eV/atom
# ΔH_f (0 K) = 0.268 eV/atom

---

(11)
# HgIrW2, relaxed, DFT GGA-PBE
data_HgIrW2
_cell_length_a 9.6557
_cell_length_b 9.6557
_cell_length_c 9.6557
_cell_angle_alpha 16.95
_cell_angle_beta 16.95
_cell_angle_gamma 16.95
_symmetry_space_group_name_H-M 'P 1'
_symmetry_Int_Tables_number 1
_symmetry_space_group_name_Hall 'P 1'
loop_
_atom_site_label
_atom_site_fract_x
_atom_site_fract_y
_atom_site_fract_z
_atom_site_occupancy
Hg1 0.2500 0.2500 0.2500 1
Ir1 0.7500 0.7500 0.7500 1
W1 0.0057 0.0057 0.0057 1
W2 0.4943 0.4943 0.4943 1
# Raw total energy = -33.61 eV per cell
# DOS(E_F) = 0.97 states/eV/atom
# ΔH_f (0 K) = 0.364 eV/atom

---

(12)
# CePm6Pr8, relaxed, DFT GGA-PBE
data_CePm6Pr8
_cell_length_a 8.8703
_cell_length_b 8.8703
_cell_length_c 8.8703
_cell_angle_alpha 63.45
_cell_angle_beta 63.45
_cell_angle_gamma 63.45
_symmetry_space_group_name_H-M 'P 1'
_symmetry_Int_Tables_number 1
_symmetry_space_group_name_Hall 'P 1'
loop_
_atom_site_label
_atom_site_fract_x
_atom_site_fract_y
_atom_site_fract_z
_atom_site_occupancy
Ce1 0.0000 0.0000 0.0000 1
Pm1 0.9017 0.4596 0.7597 1
Pm2 0.2403 0.0983 0.5404 1
Pm3 0.5404 0.2403 0.0983 1
Pm4 0.4596 0.7597 0.9017 1
Pm5 0.7597 0.9017 0.4596 1
Pm6 0.0983 0.5404 0.2403 1
Pr1 0.1148 0.7137 0.7563 1
Pr2 0.2437 0.8852 0.2863 1
Pr3 0.2863 0.2437 0.8852 1
Pr4 0.5781 0.5781 0.5781 1
Pr5 0.4219 0.4219 0.4219 1
Pr6 0.7137 0.7563 0.1148 1
Pr7 0.7563 0.1148 0.7137 1
Pr8 0.8852 0.2863 0.2437 1
# Raw total energy = -70.90 eV per cell
# DOS(E_F) = 1.78 states/eV/atom
# ΔH_f (0 K) = 0.118 eV/atom

---

(13)
# MgAs, relaxed, DFT GGA-PBE
data_MgAs
_cell_length_a 4.0197
_cell_length_b 4.0197
_cell_length_c 6.1325
_cell_angle_alpha 90.00
_cell_angle_beta 90.00
_cell_angle_gamma 120.00
_symmetry_space_group_name_H-M 'P 1'
_symmetry_Int_Tables_number 1
_symmetry_space_group_name_Hall 'P 1'
loop_
_atom_site_label
_atom_site_fract_x
_atom_site_fract_y
_atom_site_fract_z
_atom_site_occupancy
As1 0.3333 0.6667 0.2500 1
As2 0.6667 0.3333 0.7500 1
Mg1 0.0000 0.0000 0.0000 1
Mg2 0.0000 0.0000 0.5000 1
# Raw total energy = -13.53 eV per cell
# ΔE to the lowest computed polymorph = 3.64 kcal/mol of atoms
# DOS(E_F) = 0.97 states/eV/atom
# ΔH_f (0 K) = -0.260 eV/atom

---

(14)
# Sr2GaCu, relaxed, DFT GGA-PBE
data_Sr2GaCu
_cell_length_a 3.8790
_cell_length_b 3.8790
_cell_length_c 7.5580
_cell_angle_alpha 90.00
_cell_angle_beta 90.00
_cell_angle_gamma 90.00
_symmetry_space_group_name_H-M 'P 1'
_symmetry_Int_Tables_number 1
_symmetry_space_group_name_Hall 'P 1'
loop_
_atom_site_label
_atom_site_fract_x
_atom_site_fract_y
_atom_site_fract_z
_atom_site_occupancy
Sr1 0.0000 0.0000 0.7533 1
Sr2 0.0000 0.0000 0.2467 1
Cu1 0.5000 0.5000 0.0000 1
Ga1 0.5000 0.5000 0.5000 1
# Raw total energy = -11.08 eV per cell
# DOS(E_F) = 0.75 states/eV/atom
# ΔH_f (0 K) = -0.149 eV/atom

---

(15)
# KCoAg2Cl8, relaxed, DFT GGA-PBE
data_KCoAg2Cl8
_cell_length_a 7.3741
_cell_length_b 6.2521
_cell_length_c 8.3340
_cell_angle_alpha 68.47
_cell_angle_beta 69.25
_cell_angle_gamma 79.43
_symmetry_space_group_name_H-M 'P 1'
_symmetry_Int_Tables_number 1
_symmetry_space_group_name_Hall 'P 1'
loop_
_atom_site_label
_atom_site_fract_x
_atom_site_fract_y
_atom_site_fract_z
_atom_site_occupancy
K1 0.0000 0.0000 0.5000 1
Co1 0.0000 0.0000 0.0000 1
Ag1 0.3199 0.4837 0.7383 1
Ag2 0.6801 0.5163 0.2617 1
Cl1 0.0090 0.7017 0.2576 1
Cl2 0.7905 0.8197 0.9589 1
Cl3 0.7421 0.1667 0.1644 1
Cl4 0.9910 0.2983 0.7424 1
Cl5 0.2095 0.1803 0.0411 1
Cl6 0.2579 0.8333 0.8356 1
Cl7 0.4397 0.7727 0.4310 1
Cl8 0.5603 0.2273 0.5690 1
# Raw total energy = -36.36 eV per cell
# DOS(E_F) = 0.80 states/eV/atom

---

(16)
# SrCaMg2Cd2, relaxed, DFT GGA-PBE
data_SrCaMg2Cd2
_cell_length_a 5.1400
_cell_length_b 5.1400
_cell_length_c 7.6660
_cell_angle_alpha 90.00
_cell_angle_beta 90.00
_cell_angle_gamma 120.00
_symmetry_space_group_name_H-M 'P 1'
_symmetry_Int_Tables_number 1
_symmetry_space_group_name_Hall 'P 1'
loop_
_atom_site_label
_atom_site_fract_x
_atom_site_fract_y
_atom_site_fract_z
_atom_site_occupancy
Sr1 0.0000 0.0000 0.0000 1
Ca1 0.0000 0.0000 0.5000 1
Mg1 0.3333 0.6667 0.7134 1
Mg2 0.6667 0.3333 0.2866 1
Cd1 0.3333 0.6667 0.2799 1
Cd2 0.6667 0.3333 0.7201 1
# Raw total energy = -10.03 eV per cell
# DOS(E_F) = 0.82 states/eV/atom
# ΔH_f (0 K) = -0.221 eV/atom